Entry 1:
Density functional theory data (GGA-PBE) for a relaxed HfAlAsBr2 crystal.

Properties
density of states at the Fermi level	1.75	states/eV per cell
E_form (uncorrected)	-1.2	eV/f.u.
distance to the lowest polymorph of the same formula	0.000	eV/f.u.
calculated total energy	-0.1684	Ha/atom

Cell lengths 5.308, 5.308, 5.235 Å; angles 90.00, 90.00, 90.00 degrees
Space group P4/mmm (No. 123)
Symmetry-distinct sites (fractional):
Hf 0.000 0.000 0.000 x1
Al 0.500 0.500 0.500 x1
As 0.000 0.000 0.500 x1
Br 0.000 0.500 0.000 x2

---

Entry 2:
Density functional theory data (GGA-PBE) for a relaxed BaMnW2 crystal.

Properties
density of states at the Fermi level	20.61	states/eV per cell
distance to the lowest polymorph of the same formula	3.732	eV/f.u.
calculated total energy	-0.2784	Ha/atom
formation energy from the elements	1674	meV/atom

Cell lengths 6.586, 6.586, 6.586 Å; angles 90.00, 90.00, 90.00 degrees
Space group Fm-3m (No. 225)
Symmetry-distinct sites (fractional):
Ba 0.000 0.000 0.000 x4
Mn 0.000 0.000 0.500 x4
W 0.250 0.250 0.250 x8

---

Entry 3:
Density functional theory data (GGA-PBE) for a relaxed CaMnP2Pb crystal.

Properties
density of states at the Fermi level	5.14	states/eV per cell
distance to the lowest polymorph of the same formula	2.365	eV/f.u.
calculated total energy	-0.1290	Ha/atom
formation energy from the elements	1631	meV/atom

Cell lengths 5.106, 5.106, 5.719 Å; angles 90.00, 90.00, 90.00 degrees
Space group P4/mmm (No. 123)
Symmetry-distinct sites (fractional):
Ca 0.000 0.000 0.000 x1
Mn 0.500 0.500 0.500 x1
P 0.000 0.500 0.000 x2
Pb 0.000 0.000 0.500 x1

---

> Among the records above, which one has the lowest calculated total energy?

BaMnW2

---

> Look up the calculated total energy of the first one.

-0.1684 Ha/atom